{
  "formula": "NaTaAgCl6",
  "functional": "PBE-GGA",
  "state": "optimized geometry",
  "formation_energy_uncorrected_ev_per_atom": -1.167,
  "space_group": "P-31c, No. 163",
  "dos_at_fermi_per_ev_atom": 0.549,
  "lattice_angstrom": [[6.743, 0.000, 0.000], [-3.372, 5.840, 0.000], [0.000, 0.000, 11.728]],
  "species": ["Na", "Na", "Ta", "Ta", "Ag", "Ag", "Cl", "Cl", "Cl", "Cl", "Cl", "Cl", "Cl", "Cl", "Cl", "Cl", "Cl", "Cl"],
  "frac_coords": [[0.333, 0.667, 0.250], [0.667, 0.333, 0.750], [0.333, 0.667, 0.750], [0.667, 0.333, 0.250], [0.000, 0.000, 0.000], [0.000, 0.000, 0.500], [0.041, 0.374, 0.630], [0.041, 0.667, 0.870], [0.333, 0.374, 0.870], [0.333, 0.959, 0.630], [0.374, 0.041, 0.130], [0.374, 0.333, 0.370], [0.626, 0.667, 0.630], [0.626, 0.959, 0.870], [0.667, 0.041, 0.370], [0.667, 0.626, 0.130], [0.959, 0.333, 0.130], [0.959, 0.626, 0.370]]
}